No. 1
Density functional theory data (PBE-GGA) for crystalline Rb2InCuCl6 at its relaxed geometry.

## Properties
ΔE to the lowest computed polymorph, kJ/mol of formula units: 14
Final energy, eV/atom: -3.299

```
Rb2InCuCl6
1.0
-1.241 -3.748 6.059
3.883 -5.927 1.445
4.858 0.076 5.357
Cl In Cu Rb
6 1 1 2
Direct
0.253 0.253 0.747 Cl
0.747 0.253 0.747 Cl
0.253 0.747 0.253 Cl
0.747 0.253 0.253 Cl
0.747 0.747 0.253 Cl
0.253 0.747 0.747 Cl
0.000 0.000 0.000 In
0.500 0.500 0.500 Cu
0.750 0.750 0.750 Rb
0.250 0.250 0.250 Rb
```


No. 2
Density functional theory data (PBE-GGA) for crystalline Rb2InCuCl6 at its relaxed geometry.

## Properties
ΔE to the lowest computed polymorph, kJ/mol of formula units: 0
Final energy, eV/atom: -3.314

```
Rb2InCuCl6
1.0
-4.586 4.185 4.426
-6.411 -3.751 -3.096
0.559 -6.533 6.757
Cl Rb Cu In
12 4 2 2
Direct
0.265 0.040 0.500 Cl
0.000 0.761 0.720 Cl
0.500 0.239 0.220 Cl
0.735 0.040 0.500 Cl
0.231 0.507 0.000 Cl
0.731 0.493 0.500 Cl
0.235 0.960 0.000 Cl
0.500 0.239 0.780 Cl
0.269 0.493 0.500 Cl
0.769 0.507 0.000 Cl
0.000 0.761 0.280 Cl
0.765 0.960 0.000 Cl
0.500 0.784 0.257 Rb
0.500 0.784 0.743 Rb
0.000 0.216 0.243 Rb
0.000 0.216 0.757 Rb
0.500 0.356 0.000 Cu
0.000 0.644 0.500 Cu
0.500 0.258 0.500 In
0.000 0.742 0.000 In
```


No. 3
Density functional theory data (PBE-GGA) for crystalline RbInCu2Cl8 at its relaxed geometry.

## Properties
Final energy, eV/atom: -3.096

```
RbInCu2Cl8
1.0
6.444 0.000 0.000
3.222 5.581 0.000
3.222 1.860 9.230
Cl Cu In Rb
8 2 1 1
Direct
0.064 0.372 0.838 Cl
0.820 0.820 0.541 Cl
0.372 0.726 0.838 Cl
0.274 0.936 0.162 Cl
0.628 0.274 0.162 Cl
0.936 0.628 0.162 Cl
0.180 0.180 0.459 Cl
0.726 0.064 0.838 Cl
0.740 0.740 0.779 Cu
0.260 0.260 0.221 Cu
0.000 0.000 0.000 In
0.500 0.500 0.500 Rb
```


Number 1: ΔE_f (raw) -1.31 eV per atom. Number 2: ΔE_f (raw) -1.33 eV per atom. Number 3: ΔE_f (raw) -0.87 eV per atom.